# ZrTlFeO4

A geometry-optimized ZrTlFeO4 structure (GGA+U, Alexandria via LeMat-Bulk).

Calculated values
Symmetry: P2_1/m (11)
DFT total energy: -7.161 eV per atom

Cell: 5.6433 5.7402 9.2317 Å, 90.00 125.92 90.00°
Site moments in Bohr magnetons follow the coordinates.
Fractional positions:
Zr  0.7971  0.7500  0.4676  0.02
Zr  0.2029  0.2500  0.5324  0.02
Tl  0.6147  0.7500  0.8671  0.01
Tl  0.3853  0.2500  0.1329  0.01
Fe  0.1798  0.7500  0.3337  4.21
Fe  0.8202  0.2500  0.6663  4.21
O  0.0558  0.4851  0.6561  0.11
O  0.9442  0.9851  0.3439  0.11
O  0.9442  0.5149  0.3439  0.11
O  0.0558  0.0149  0.6561  0.11
O  0.3778  0.7500  0.2286  0.16
O  0.6222  0.2500  0.7714  0.16
O  0.5396  0.7500  0.5683  0.19
O  0.4604  0.2500  0.4317  0.19